1.
SrHg2Br | PBE | relaxed

POSCAR file:
```
SrHg2Br
1.0
6.1542 -0.0103 -0.0403
2.0223 5.8125 0.0403
-3.6830 -3.4722 3.5008
Hg Br Sr
2 1 1
direct
0.9927 0.9927 0.0000
0.7484 0.2484 0.5000
0.2720 0.7720 0.5000
0.4869 0.4869 0.0000
```

Results
SG: Imm2 (44)

2.
SrHgBr2 | PBE | relaxed

POSCAR file:
```
SrHgBr2
1.0
0.0000 3.9429 3.9429
3.9429 0.0000 3.9429
3.9429 3.9429 0.0000
Sr Br Hg
1 2 1
direct
0.0000 0.0000 0.0000
0.7500 0.7500 0.7500
0.2500 0.2500 0.2500
0.5000 0.5000 0.5000
```

Results
SG: Fm-3m (225)

3.
SrHg2Br | PBE | relaxed

POSCAR file:
```
SrHg2Br
1.0
5.5660 0.0000 0.0000
2.7830 4.8203 0.0000
2.7830 1.6068 4.5446
Sr Hg Br
1 2 1
direct
0.7500 0.7500 0.7500
0.2500 0.2500 0.2500
0.0000 0.0000 0.0000
0.5000 0.5000 0.5000
```

Results
SG: F-43m (216)

4.
SrHg2Br | PBE | relaxed

POSCAR file:
```
SrHg2Br
1.0
-2.6652 -2.8715 -0.8011
-0.3166 -0.7998 3.9052
-5.9522 5.3534 0.6138
Hg Br Sr
2 1 1
direct
0.0000 0.0000 0.0570
0.5000 0.5000 0.2463
0.5000 0.5000 0.6934
0.0000 0.0000 0.5032
```

Results
SG: P4mm (99)

5.
SrHgBr | PBE | relaxed

POSCAR file:
```
SrHgBr
1.0
-2.7115 -4.4765 0.9894
0.6133 -4.2398 -3.1651
2.5510 -4.3171 1.7957
Hg Br Sr
1 1 1
direct
0.0000 0.0000 0.0000
0.7500 0.7500 0.7500
0.5000 0.5000 0.5000
```

Results
SG: F-43m (216)

6.
SrHgBr2 | PBE | relaxed

POSCAR file:
```
SrHgBr2
1.0
5.2870 0.0000 0.0000
0.0000 5.2870 0.0000
0.0000 0.0000 4.3673
Br Sr Hg
2 1 1
direct
0.5000 0.5000 0.0000
0.0000 0.0000 0.0000
0.0000 0.5000 0.5000
0.5000 0.0000 0.5000
```

Results
SG: P4/mmm (123)

7.
Sr4HgBr8 | PBE | relaxed

POSCAR file:
```
Sr4HgBr8
1.0
-0.8576 -1.8099 4.1822
-10.3674 -3.7972 -1.1984
2.3479 -11.0924 -1.7483
Br Sr Hg
8 4 1
direct
0.5547 0.6670 0.2237
0.4767 0.3365 0.7101
0.1838 0.0186 0.6137
0.8476 0.9848 0.3200
0.2363 0.6420 0.8854
0.1445 0.3321 0.3789
0.7951 0.3616 0.0483
0.8870 0.6712 0.5547
0.3705 0.8253 0.4338
0.8578 0.4944 0.7900
0.1736 0.5092 0.1437
0.6609 0.1782 0.5000
0.5159 0.0012 0.9671
```

Results
SG: Cm (8)

8.
SrHgBr2 | PBE | relaxed

POSCAR file:
```
SrHgBr2
1.0
4.5927 0.0000 0.0000
2.2963 3.9774 0.0000
2.2963 1.3258 9.9211
Br Sr Hg
2 1 1
direct
0.0526 0.0526 0.8421
0.2804 0.2804 0.1587
0.6665 0.6665 0.0006
0.5005 0.5005 0.4986
```

Results
SG: R3m (160)

9.
Sr6Hg5Br | PBE | relaxed

POSCAR file:
```
Sr6Hg5Br
1.0
-1.9771 -4.1446 -3.3983
7.2695 -0.8763 -3.1590
-0.7496 -3.2928 9.2529
Hg Sr Br
5 6 1
direct
0.0000 0.5000 0.0000
0.6716 0.1716 0.3432
0.6659 0.6659 0.3319
0.3341 0.3341 0.6681
0.3284 0.8284 0.6568
0.8315 0.0841 0.6632
0.1684 0.4209 0.3368
0.4998 0.2549 0.0000
0.8316 0.5791 0.6632
0.1685 0.9159 0.3368
0.5002 0.7451 0.0000
0.0000 0.0000 0.0000
```

Results
SG: Immm (71)

10.
SrHg2Br | PBE | relaxed

POSCAR file:
```
SrHg2Br
1.0
4.7173 0.0173 0.0000
-0.0177 4.7174 0.0000
0.0000 0.0000 6.1068
Br Hg Sr
1 2 1
direct
0.5000 0.5000 0.7500
0.0000 0.0000 0.9942
0.0000 0.0000 0.5058
0.5000 0.5000 0.2500
```

Results
SG: P4/mmm (123)

11.
Sr2HgBr6 | PBE | relaxed

POSCAR file:
```
Sr2HgBr6
1.0
7.3862 0.0000 -0.2187
0.0000 7.8272 0.0000
-1.2351 0.0000 10.6257
Br Hg Sr
12 2 4
direct
0.8197 0.6797 0.5852
0.1803 0.3203 0.4148
0.6803 0.1797 0.9148
0.6789 0.1857 0.5554
0.8371 0.9443 0.2622
0.1789 0.3143 0.0554
0.8211 0.6857 0.9446
0.3197 0.8203 0.0852
0.1629 0.0557 0.7378
0.6629 0.4443 0.2378
0.3211 0.8143 0.4446
0.3371 0.5557 0.7622
0.0000 0.0000 0.5000
0.5000 0.5000 0.0000
0.4432 0.1076 0.2757
0.5568 0.8924 0.7243
0.9432 0.3924 0.7757
0.0568 0.6076 0.2243
```

Results
SG: P2_1/c (14)

12.
Sr3HgBr | PBE | relaxed

POSCAR file:
```
Sr3HgBr
1.0
6.2670 0.0000 0.0000
0.0000 6.2670 0.0000
0.0000 0.0000 6.2670
Hg Sr Br
1 3 1
direct
0.0000 0.0000 0.0000
0.5000 0.0000 0.0000
0.0000 0.5000 0.0000
0.0000 0.0000 0.5000
0.5000 0.5000 0.5000
```

Results
SG: Pm-3m (221)

13.
SrHgBr2 | PBE | relaxed

POSCAR file:
```
SrHgBr2
1.0
-1.6822 -5.7053 -2.1779
4.0815 -4.7069 1.1445
-2.7628 4.5574 3.4235
Br Sr Hg
2 1 1
direct
0.2500 0.7500 0.5000
0.0000 0.0000 0.0000
0.7500 0.2500 0.5000
0.5000 0.5000 0.0000
```

Results
SG: I-4m2 (119)

14.
SrHg2Br | PBE | relaxed

POSCAR file:
```
SrHg2Br
1.0
0.0000 3.9861 3.9861
3.9861 0.0000 3.9861
3.9861 3.9861 0.0000
Br Sr Hg
1 1 2
direct
0.0000 0.0000 0.0000
0.5000 0.5000 0.5000
0.7500 0.7500 0.7500
0.2500 0.2500 0.2500
```

Results
SG: Fm-3m (225)

15.
SrHgBr | PBE | relaxed

POSCAR file:
```
SrHgBr
1.0
5.4364 0.0000 0.0000
2.7182 4.7081 0.0000
2.7182 1.5694 4.4388
Hg Sr Br
1 1 1
direct
0.5000 0.5000 0.5000
0.7500 0.7500 0.7500
0.0000 0.0000 0.0000
```

Results
SG: F-43m (216)

16.
SrHg3Br8 | PBE | relaxed

POSCAR file:
```
SrHg3Br8
1.0
-5.0818 -5.8498 -3.5059
2.7044 5.9479 -5.4829
5.6981 -5.0576 3.0369
Br Sr Hg
8 1 3
direct
0.2176 0.4834 0.2382
0.7471 0.0021 0.2381
0.2529 0.9979 0.7619
0.2771 0.9720 0.2409
0.7229 0.0280 0.7591
0.7824 0.5166 0.7618
0.2758 0.4952 0.7590
0.7242 0.5048 0.2410
0.0000 0.0000 0.0000
0.5000 0.5000 0.0000
0.0000 0.5000 0.0000
0.5000 0.0000 0.0000
```

Results
SG: P-1 (2)

17.
SrHg3Br | PBE | relaxed

POSCAR file:
```
SrHg3Br
1.0
6.0423 0.0000 0.0000
0.0000 6.0423 0.0000
0.0000 0.0000 6.0423
Sr Br Hg
1 1 3
direct
0.5000 0.5000 0.5000
0.0000 0.0000 0.0000
0.5000 0.0000 0.0000
0.0000 0.5000 0.0000
0.0000 0.0000 0.5000
```

Results
SG: Pm-3m (221)

18.
SrHg2Br2 | PBE | relaxed

POSCAR file:
```
SrHg2Br2
1.0
-0.8962 -2.2343 -5.9337
3.2172 -5.3242 1.5189
-2.7134 -5.7423 -0.8832
Hg Br Sr
2 2 1
direct
0.3453 0.3453 0.3094
0.6547 0.6547 0.6906
0.7500 0.2500 0.5000
0.2500 0.7500 0.5000
0.0000 0.0000 0.0000
```

Results
SG: I4/mmm (139)

19.
SrHgBr2 | PBE | relaxed

POSCAR file:
```
SrHgBr2
1.0
-8.5707 -2.9710 1.7093
3.4275 -7.3835 4.3522
-2.5866 -3.0909 6.5821
Br Sr Hg
4 2 2
direct
0.5430 0.1250 0.2500
0.3750 0.4570 0.7500
0.8750 0.7930 0.7500
0.2070 0.6250 0.2500
0.2500 0.7500 0.5000
0.5000 0.5000 0.0000
0.0000 0.0000 0.0000
0.7500 0.2500 0.5000
```

Results
SG: I-42d (122)

20.
SrHg2Br2 | PBE | relaxed

POSCAR file:
```
SrHg2Br2
1.0
-0.2277 -5.9097 -5.8333
5.3071 -4.5917 4.4446
-3.7385 -2.1103 2.2838
Br Hg Sr
4 4 2
direct
0.1859 0.6859 0.5000
0.6859 0.8141 0.5000
0.8141 0.3141 0.5000
0.3141 0.1859 0.5000
0.3777 0.8777 0.0000
0.8777 0.6223 0.0000
0.1223 0.3777 0.0000
0.6223 0.1223 0.0000
0.0000 0.0000 0.0000
0.5000 0.5000 0.0000
```

Results
SG: P4/mbm (127)

21.
SrTcHgBr2 | PBE | relaxed

POSCAR file:
```
SrTcHgBr2
1.0
5.1594 0.0000 0.0000
0.0000 5.9335 0.0000
0.0000 0.0000 5.1594
Br Tc Sr Hg
2 1 1 1
direct
0.0000 0.0000 0.5000
0.5000 0.0000 0.0000
0.0000 0.0000 0.0000
0.0000 0.5000 0.0000
0.5000 0.5000 0.5000
```

Results
SG: P4/mmm (123)

22.
SrTl2HgBr6 | PBE | relaxed

POSCAR file:
```
SrTl2HgBr6
1.0
8.0454 0.0076 -0.0021
4.0294 6.9597 -0.0075
4.0232 2.3164 6.6873
Br Tl Sr Hg
6 2 1 1
direct
0.5813 0.1731 0.2612
0.4639 0.6593 0.7753
0.9843 0.5825 0.2596
0.1024 0.4633 0.7749
0.6591 0.1016 0.7762
0.1723 0.9842 0.2609
0.5316 0.5321 0.4049
0.0344 0.0340 0.8984
0.8163 0.8163 0.5507
0.3158 0.3150 0.0533
```

Results
SG: P1 (1)

23.
SrTlHgBr5 | PBE | relaxed

POSCAR file:
```
SrTlHgBr5
1.0
8.1895 0.0763 -0.0815
-2.3177 7.8551 -0.0815
-2.5377 -3.4278 10.0456
Sr Br Hg Tl
2 10 2 2
direct
0.0000 0.0000 0.0000
0.0000 0.0000 0.5000
0.3794 0.2727 0.0529
0.2727 0.3794 0.5529
0.0946 0.9054 0.2500
0.6582 0.0789 0.3765
0.7273 0.6206 0.4471
0.0789 0.6582 0.8765
0.6206 0.7273 0.9471
0.9054 0.0946 0.7500
0.3418 0.9211 0.6235
0.9211 0.3418 0.1235
0.6780 0.3220 0.2500
0.3220 0.6780 0.7500
0.6592 0.3408 0.7500
0.3408 0.6592 0.2500
```

Results
SG: C2/c (15)

24.
SrYHgBr2 | PBE | relaxed

POSCAR file:
```
SrYHgBr2
1.0
6.0535 0.0000 0.0000
0.0000 5.9424 0.0000
0.0000 0.0000 6.0535
Hg Br Y Sr
1 2 1 1
direct
0.0000 0.0000 0.0000
0.5000 0.0000 0.0000
0.0000 0.0000 0.5000
0.5000 0.5000 0.5000
0.0000 0.5000 0.0000
```

Results
SG: P4/mmm (123)

25.
TaHg2Br | PBE | relaxed

POSCAR file:
```
TaHg2Br
1.0
7.4335 -0.0256 -0.0182
6.8216 2.9535 -0.0182
1.4078 0.2892 4.3243
Br Hg Ta
1 2 1
direct
0.7500 0.7500 0.7500
0.5614 0.5614 0.4393
0.9386 0.9386 0.0607
0.2500 0.2500 0.2500
```

Results
SG: Immm (71)

26.
Ta2HgBr | PBE | relaxed

POSCAR file:
```
Ta2HgBr
1.0
3.0684 0.0000 0.0000
0.0000 5.3101 0.0000
0.0000 0.0000 5.0037
Br Hg Ta
1 1 2
direct
0.5000 0.0000 0.5000
0.0000 0.5000 0.5000
0.5000 0.5000 0.0000
0.0000 0.0000 0.0000
```

Results
SG: Pmmm (47)

no.,E (eV per atom)
1,-1.749
2,-2.712
3,-1.691
4,-1.783
5,-2.046
6,-2.627
7,-3.511
8,-2.883
9,-1.755
10,-1.688
11,-3.052
12,-1.893
13,-2.601
14,-1.555
15,-2.099
16,-2.162
17,-0.832
18,-1.885
19,-2.748
20,-1.901
21,-3.178
22,-2.749
23,-2.752
24,-2.339
25,-3.082
26,-5.715